A geometry-optimized BaRhBr2 structure. Source: the Alexandria database, functional GGA-PBE.

Computed properties:
Relative energy among the computed polymorphs, meV per atom: 604
N(E_F), states/eV/cell: 4.306
Uncorrected formation energy, eV/atom: -0.283

Cell lengths 4.2525, 4.2525, 26.4182 Å; angles 90.00, 90.00, 120.00 degrees
Last column: nearest neighbours and their distance in Å.
Space group R-3m (No. 166, hexagonal axes)
Inequivalent atoms, fractional coordinates:
1 Ba 0.0000 0.0000 0.0000 [3 per cell]  2 Br 3.12
2 Rh 0.0000 0.0000 0.5000 [3 per cell]  6 Br 2.77
3 Br 0.0000 0.0000 0.1180 [6 per cell]  3 Rh 2.77


A geometry-optimized NbInO2 structure. Source: the Alexandria database, functional GGA-PBE.

Computed properties:
N(E_F), states/eV/cell: 7.357
Uncorrected formation energy, eV/atom: -1.078

Cell lengths 3.1944, 3.1944, 19.5820 Å; angles 90.00, 90.00, 120.00 degrees
Last column: nearest neighbours and their distance in Å.
Space group R-3m (No. 166, hexagonal axes)
Inequivalent atoms, fractional coordinates:
1 Nb 0.0000 0.0000 0.0000 [3 per cell]  2 O 2.09
2 In 0.0000 0.0000 0.5000 [3 per cell]  6 O 2.19
3 O 0.0000 0.0000 0.1067 [6 per cell]  1 Nb 2.09, 3 In 2.19


A geometry-optimized Sc3Ta structure. Source: the Alexandria database, functional GGA-PBE.

Computed properties:
Relative energy among the computed polymorphs, meV per atom: 7
N(E_F), states/eV/cell: 5.784
Energy relative to the elements, eV/atom: 0.12

Cell lengths 3.1641, 3.1641, 10.2556 Å; angles 90.00, 90.00, 120.00 degrees
Last column: nearest neighbours and their distance in Å.
Space group P-6m2 (No. 187)
Inequivalent atoms, fractional coordinates:
1 Sc 0.0000 0.0000 0.0000 [1 per cell]  12 Sc 3.16-3.27
2 Sc 0.6667 0.3333 0.2642 [2 per cell]  3 Ta 3.03, 9 Sc 3.16-3.27
3 Ta 0.0000 0.0000 0.5000 [1 per cell]  6 Sc 3.03, 6 Ta 3.16


A geometry-optimized Co2BiPb structure. Source: the Alexandria database, functional GGA-PBE.

Computed properties:
N(E_F), states/eV/cell: 30.278
Energy relative to the elements, eV/atom: 0.78

Cell lengths 7.0259, 7.0259, 6.7797 Å; angles 90.00, 90.00, 90.00 degrees
Last column: nearest neighbours and their distance in Å.
Space group I-42d (No. 122)
Inequivalent atoms, fractional coordinates:
1 Co 0.2441 0.2500 0.1250 [8 per cell]  2 Bi 2.60, 2 Pb 2.65
2 Bi 0.0000 0.0000 0.0000 [4 per cell]  4 Co 2.60
3 Pb 0.0000 0.0000 0.5000 [4 per cell]  4 Co 2.65


A geometry-optimized TeMoOs2 structure. Source: the Alexandria database, functional GGA-PBE.

Computed properties:
N(E_F), states/eV/cell: 9.460
Uncorrected formation energy, eV/atom: 0.684

Cell lengths 4.0556, 4.0556, 7.8814 Å; angles 90.00, 90.00, 90.00 degrees
Last column: nearest neighbours and their distance in Å.
Space group I4/mmm (No. 139)
Inequivalent atoms, fractional coordinates:
1 Te 0.0000 0.0000 0.0000 [2 per cell]  8 Os 2.83, 4 Mo 2.87
2 Mo 0.0000 0.0000 0.5000 [2 per cell]  8 Os 2.83, 4 Te 2.87
3 Os 0.0000 0.5000 0.2500 [4 per cell]  4 Mo 2.83, 4 Te 2.83, 4 Os 2.87


A geometry-optimized AcTbEu2 structure. Source: the Alexandria database, functional GGA-PBE.

Computed properties:
Relative energy among the computed polymorphs, meV per atom: 0
N(E_F), states/eV/cell: 15.226
Energy relative to the elements, eV/atom: 0.08

Cell lengths 3.8181, 3.8181, 37.5408 Å; angles 90.00, 90.00, 120.00 degrees
Last column: nearest neighbours and their distance in Å.
Space group R-3m (No. 166, hexagonal axes)
Inequivalent atoms, fractional coordinates:
1 Ac 0.0000 0.0000 0.0000 [3 per cell]  6 Ac 3.82, 6 Eu 3.94
2 Tb 0.0000 0.0000 0.5000 [3 per cell]  6 Eu 3.72, 6 Tb 3.82
3 Eu 0.0000 0.0000 0.2465 [6 per cell]  3 Tb 3.72, 6 Eu 3.82, 3 Ac 3.94


> Among the records above, which one has the highest N(E_F)?

Co2BiPb